Er3ZnAg5: relaxed, GGA-PBE.

Values from the calculation:
- Magnetic moment: 0.0 Bohr magnetons per cell
- Formation energy: -0.3070 eV per atom

Unit cell a=7.5369 b=7.5369 c=3.9049 alpha=90.00 beta=90.00 gamma=120.00
Last column: nearest neighbours and their distance in Å.
Space group P-62m (No. 189)
Unique sites:
Er 0.0000 0.5918 0.0000 [3 per cell]  10 Ag 3.00-3.32, 1 Zn 3.08
Zn 0.0000 0.0000 0.0000 [1 per cell]  6 Ag 2.70
Ag 0.0000 0.2483 0.5000 [3 per cell]  2 Zn 2.70, 2 Ag 2.89
Ag 0.3333 0.6667 0.5000 [2 per cell]  3 Ag 2.89, 6 Er 3.00